# 1
First-principles (PBE) data for TcHgAs3 after structural relaxation, as listed in the Alexandria database.

## Properties
- density of states at the Fermi level (states/eV/f.u.) = 2.76
- formation energy (meV/atom) = 411
- spin magnetization (μB/cell) = 0.0
- E above lowest polymorph (eV/atom) = 0.0000
- space group = Pm-3m

```
data_TcHgAs3
_chemical_formula_sum 'Tc1 Hg1 As3'
_symmetry_space_group_name_H-M 'P 1'
_symmetry_Int_Tables_number 1
_symmetry_space_group_name_Hall 'P 1'
_cell_length_a 4.8660
_cell_length_b 4.8660
_cell_length_c 4.8660
_cell_angle_alpha 90.00
_cell_angle_beta 90.00
_cell_angle_gamma 90.00
loop_
_atom_site_label
_atom_site_type_symbol
_atom_site_fract_x
_atom_site_fract_y
_atom_site_fract_z
_atom_site_occupancy
As1 As 0.0000 0.0000 0.5000 1
As2 As 0.0000 0.5000 0.0000 1
As3 As 0.5000 0.0000 0.0000 1
Tc1 Tc 0.0000 0.0000 0.0000 1
Hg1 Hg 0.5000 0.5000 0.5000 1
```

---

# 2
First-principles (PBE) data for CaNdNpN3 after structural relaxation, as listed in the Alexandria database.

## Properties
- E_form (uncorrected) (eV/atom) = -0.840
- density of states at the Fermi level (states/eV/f.u.) = 1.98
- spin magnetization (μB/cell) = 0.5
- space group = P2_1/m

```
data_CaNdNpN3
_chemical_formula_sum 'Ca2 Nd2 Np2 N6'
_symmetry_space_group_name_H-M 'P 1'
_symmetry_Int_Tables_number 1
_symmetry_space_group_name_Hall 'P 1'
_cell_length_a 3.6406
_cell_length_b 7.6347
_cell_length_c 8.5166
_cell_angle_alpha 98.66
_cell_angle_beta 90.00
_cell_angle_gamma 90.00
loop_
_atom_site_label
_atom_site_type_symbol
_atom_site_fract_x
_atom_site_fract_y
_atom_site_fract_z
_atom_site_occupancy
N1 N 0.7500 0.3734 0.1221 1
N2 N 0.2500 0.7935 0.4200 1
N3 N 0.7500 0.2065 0.5800 1
N4 N 0.7500 0.9087 0.1649 1
N5 N 0.2500 0.6266 0.8779 1
N6 N 0.2500 0.0913 0.8351 1
Nd1 Nd 0.2500 0.1816 0.1297 1
Nd2 Nd 0.7500 0.8184 0.8703 1
Np1 Np 0.7500 0.9425 0.4032 1
Np2 Np 0.2500 0.0575 0.5968 1
Ca1 Ca 0.7500 0.3854 0.8427 1
Ca2 Ca 0.2500 0.6146 0.1573 1
```

---

# 3
First-principles (PBE) data for TiS2Br after structural relaxation, as listed in the Alexandria database.

## Properties
- E_form (uncorrected) (eV/atom) = -0.751
- density of states at the Fermi level (states/eV/f.u.) = 3.92
- spin magnetization (μB/cell) = 0.0
- E above lowest polymorph (eV/atom) = 0.0569
- space group = R3m

```
data_TiS2Br
_chemical_formula_sum 'Ti1 S2 Br1'
_symmetry_space_group_name_H-M 'P 1'
_symmetry_Int_Tables_number 1
_symmetry_space_group_name_Hall 'P 1'
_cell_length_a 3.5671
_cell_length_b 3.5671
_cell_length_c 8.2308
_cell_angle_alpha 77.49
_cell_angle_beta 77.49
_cell_angle_gamma 60.00
loop_
_atom_site_label
_atom_site_type_symbol
_atom_site_fract_x
_atom_site_fract_y
_atom_site_fract_z
_atom_site_occupancy
S1 S 0.2717 0.2717 0.1848 1
S2 S 0.7177 0.7177 0.8470 1
Ti1 Ti 0.9964 0.9964 0.0108 1
Br1 Br 0.1756 0.1756 0.4732 1
```

---

# 4
First-principles (PBE) data for Tl2CrSnHg after structural relaxation, as listed in the Alexandria database.

## Properties
- density of states at the Fermi level (states/eV/f.u.) = 2.35
- formation energy (meV/atom) = 589
- spin magnetization (μB/cell) = 4.6
- space group = P4/mmm

```
data_Tl2CrSnHg
_chemical_formula_sum 'Tl2 Cr1 Sn1 Hg1'
_symmetry_space_group_name_H-M 'P 1'
_symmetry_Int_Tables_number 1
_symmetry_space_group_name_Hall 'P 1'
_cell_length_a 5.9471
_cell_length_b 5.3086
_cell_length_c 5.9471
_cell_angle_alpha 90.00
_cell_angle_beta 90.00
_cell_angle_gamma 90.00
loop_
_atom_site_label
_atom_site_type_symbol
_atom_site_fract_x
_atom_site_fract_y
_atom_site_fract_z
_atom_site_occupancy
Cr1 Cr 0.0000 0.5000 0.0000 1
Tl1 Tl 0.0000 0.0000 0.5000 1
Tl2 Tl 0.5000 0.0000 0.0000 1
Hg1 Hg 0.5000 0.5000 0.5000 1
Sn1 Sn 0.0000 0.0000 0.0000 1
```

---

# 5
First-principles (PBE) data for SnSbAsPb after structural relaxation, as listed in the Alexandria database.

## Properties
- E_form (uncorrected) (eV/atom) = 0.043
- spin magnetization (μB/cell) = 0.0
- space group = R3m

```
data_SnSbAsPb
_chemical_formula_sum 'Sn1 Sb1 As1 Pb1'
_symmetry_space_group_name_H-M 'P 1'
_symmetry_Int_Tables_number 1
_symmetry_space_group_name_Hall 'P 1'
_cell_length_a 4.4067
_cell_length_b 4.4067
_cell_length_c 9.6637
_cell_angle_alpha 76.82
_cell_angle_beta 76.82
_cell_angle_gamma 60.00
loop_
_atom_site_label
_atom_site_type_symbol
_atom_site_fract_x
_atom_site_fract_y
_atom_site_fract_z
_atom_site_occupancy
Pb1 Pb 0.9660 0.9660 0.1019 1
As1 As 0.5865 0.5865 0.2404 1
Sb1 Sb 0.1115 0.1115 0.6654 1
Sn1 Sn 0.4926 0.4926 0.5221 1
```

---

# 6
First-principles (PBE) data for Re3TcSb after structural relaxation, as listed in the Alexandria database.

## Properties
- E_form (uncorrected) (eV/atom) = 2.001
- density of states at the Fermi level (states/eV/f.u.) = 6.10
- spin magnetization (μB/cell) = 0.9
- E above lowest polymorph (eV/atom) = 0.0000
- space group = Pm-3m

```
data_Re3TcSb
_chemical_formula_sum 'Re3 Tc1 Sb1'
_symmetry_space_group_name_H-M 'P 1'
_symmetry_Int_Tables_number 1
_symmetry_space_group_name_Hall 'P 1'
_cell_length_a 4.7116
_cell_length_b 4.7116
_cell_length_c 4.7116
_cell_angle_alpha 90.00
_cell_angle_beta 90.00
_cell_angle_gamma 90.00
loop_
_atom_site_label
_atom_site_type_symbol
_atom_site_fract_x
_atom_site_fract_y
_atom_site_fract_z
_atom_site_occupancy
Sb1 Sb 0.5000 0.5000 0.5000 1
Re1 Re 0.0000 0.0000 0.5000 1
Re2 Re 0.5000 0.0000 0.0000 1
Re3 Re 0.0000 0.5000 0.0000 1
Tc1 Tc 0.0000 0.0000 0.0000 1
```

---

# 7
First-principles (PBE) data for Mg2BeS after structural relaxation, as listed in the Alexandria database.

## Properties
- E_form (uncorrected) (eV/atom) = -0.026
- density of states at the Fermi level (states/eV/f.u.) = 0.07
- spin magnetization (μB/cell) = 0.0
- space group = I-42d

```
data_Mg2BeS
_chemical_formula_sum 'Mg4 Be2 S2'
_symmetry_space_group_name_H-M 'P 1'
_symmetry_Int_Tables_number 1
_symmetry_space_group_name_Hall 'P 1'
_cell_length_a 6.8106
_cell_length_b 6.8106
_cell_length_c 5.8979
_cell_angle_alpha 54.73
_cell_angle_beta 54.73
_cell_angle_gamma 90.00
loop_
_atom_site_label
_atom_site_type_symbol
_atom_site_fract_x
_atom_site_fract_y
_atom_site_fract_z
_atom_site_occupancy
S1 S 0.0000 0.0000 0.0000 1
S2 S 0.7500 0.2500 0.5000 1
Mg1 Mg 0.6443 0.1250 0.2500 1
Mg2 Mg 0.3750 0.3557 0.7500 1
Mg3 Mg 0.8750 0.8943 0.7500 1
Mg4 Mg 0.1057 0.6250 0.2500 1
Be1 Be 0.2500 0.7500 0.5000 1
Be2 Be 0.5000 0.5000 0.0000 1
```

---

# 8
First-principles (PBE) data for Ca2NdSnO after structural relaxation, as listed in the Alexandria database.

## Properties
- E_form (uncorrected) (eV/atom) = -1.519
- density of states at the Fermi level (states/eV/f.u.) = 3.04
- spin magnetization (μB/cell) = 0.0
- space group = P4/mmm

```
data_Ca2NdSnO
_chemical_formula_sum 'Ca2 Nd1 Sn1 O1'
_symmetry_space_group_name_H-M 'P 1'
_symmetry_Int_Tables_number 1
_symmetry_space_group_name_Hall 'P 1'
_cell_length_a 5.0037
_cell_length_b 4.8309
_cell_length_c 4.8309
_cell_angle_alpha 90.00
_cell_angle_beta 90.00
_cell_angle_gamma 90.00
loop_
_atom_site_label
_atom_site_type_symbol
_atom_site_fract_x
_atom_site_fract_y
_atom_site_fract_z
_atom_site_occupancy
Ca1 Ca 0.0000 0.5000 0.0000 1
Ca2 Ca 0.0000 0.0000 0.5000 1
Sn1 Sn 0.5000 0.5000 0.5000 1
O1 O 0.0000 0.0000 0.0000 1
Nd1 Nd 0.5000 0.0000 0.0000 1
```

---

# 9
First-principles (PBE) data for La8Ga2Ge after structural relaxation, as listed in the Alexandria database.

## Properties
- density of states at the Fermi level (states/eV/f.u.) = 11.36
- formation energy (meV/atom) = -363
- spin magnetization (μB/cell) = 0.0
- space group = C2/m

```
data_La8Ga2Ge
_chemical_formula_sum 'La8 Ga2 Ge1'
_symmetry_space_group_name_H-M 'P 1'
_symmetry_Int_Tables_number 1
_symmetry_space_group_name_Hall 'P 1'
_cell_length_a 5.1653
_cell_length_b 7.2977
_cell_length_c 9.8248
_cell_angle_alpha 108.21
_cell_angle_beta 105.24
_cell_angle_gamma 90.00
loop_
_atom_site_label
_atom_site_type_symbol
_atom_site_fract_x
_atom_site_fract_y
_atom_site_fract_z
_atom_site_occupancy
La1 La 0.6598 0.9681 0.3197 1
La2 La 0.3402 0.0319 0.6803 1
La3 La 0.5907 0.4607 0.1813 1
La4 La 0.7922 0.6878 0.5843 1
La5 La 0.4093 0.5393 0.8187 1
La6 La 0.9926 0.2327 0.9853 1
La7 La 0.2078 0.3122 0.4157 1
La8 La 0.0074 0.7673 0.0147 1
Ge1 Ge 0.5000 0.0000 0.0000 1
Ga1 Ga 0.8265 0.2838 0.6530 1
Ga2 Ga 0.1735 0.7162 0.3470 1
```

---

# 10
First-principles (PBE) data for Bi2O3 after structural relaxation, as listed in the Alexandria database.

## Properties
- E_form (uncorrected) (eV/atom) = -1.201
- density of states at the Fermi level (states/eV/f.u.) = 0.00
- spin magnetization (μB/cell) = 0.0
- space group = Pccn

```
data_Bi2O3
_chemical_formula_sum 'Bi8 O12'
_symmetry_space_group_name_H-M 'P 1'
_symmetry_Int_Tables_number 1
_symmetry_space_group_name_Hall 'P 1'
_cell_length_a 5.2845
_cell_length_b 5.7208
_cell_length_c 12.7949
_cell_angle_alpha 90.00
_cell_angle_beta 90.00
_cell_angle_gamma 90.00
loop_
_atom_site_label
_atom_site_type_symbol
_atom_site_fract_x
_atom_site_fract_y
_atom_site_fract_z
_atom_site_occupancy
O1 O 0.3788 0.8301 0.4440 1
O2 O 0.7500 0.5200 0.7500 1
O3 O 0.6212 0.6699 0.9440 1
O4 O 0.8788 0.6699 0.5560 1
O5 O 0.2500 0.9800 0.2500 1
O6 O 0.7500 0.0200 0.7500 1
O7 O 0.6212 0.1699 0.5560 1
O8 O 0.3788 0.3301 0.0560 1
O9 O 0.8788 0.1699 0.9440 1
O10 O 0.1212 0.8301 0.0560 1
O11 O 0.1212 0.3301 0.4440 1
O12 O 0.2500 0.4800 0.2500 1
Bi1 Bi 0.4496 0.6786 0.1253 1
Bi2 Bi 0.5504 0.8214 0.6253 1
Bi3 Bi 0.4496 0.1786 0.3747 1
Bi4 Bi 0.0504 0.6786 0.3747 1
Bi5 Bi 0.9496 0.8214 0.8747 1
Bi6 Bi 0.9496 0.3214 0.6253 1
Bi7 Bi 0.5504 0.3214 0.8747 1
Bi8 Bi 0.0504 0.1786 0.1253 1
```

---

# 11
First-principles (PBE) data for La2Zn5Ir3 after structural relaxation, as listed in the Alexandria database.

## Properties
- density of states at the Fermi level (states/eV/f.u.) = 5.84
- formation energy (meV/atom) = -359
- spin magnetization (μB/cell) = 0.0
- E above lowest polymorph (eV/atom) = 0.0774
- space group = P-4m2

```
data_La2Zn5Ir3
_chemical_formula_sum 'La2 Zn5 Ir3'
_symmetry_space_group_name_H-M 'P 1'
_symmetry_Int_Tables_number 1
_symmetry_space_group_name_Hall 'P 1'
_cell_length_a 4.1431
_cell_length_b 4.1431
_cell_length_c 11.4119
_cell_angle_alpha 90.00
_cell_angle_beta 90.00
_cell_angle_gamma 90.00
loop_
_atom_site_label
_atom_site_type_symbol
_atom_site_fract_x
_atom_site_fract_y
_atom_site_fract_z
_atom_site_occupancy
Ir1 Ir 0.0000 0.5000 0.3625 1
Ir2 Ir 0.0000 0.0000 0.5000 1
Ir3 Ir 0.5000 0.0000 0.6375 1
Zn1 Zn 0.0000 0.5000 0.1410 1
Zn2 Zn 0.5000 0.0000 0.8590 1
Zn3 Zn 0.5000 0.5000 0.5000 1
Zn4 Zn 0.5000 0.5000 0.0000 1
Zn5 Zn 0.0000 0.0000 0.0000 1
La1 La 0.0000 0.5000 0.7322 1
La2 La 0.5000 0.0000 0.2678 1
```

---

# 12
First-principles (PBE) data for Tl4InBr6 after structural relaxation, as listed in the Alexandria database.

## Properties
- E_form (uncorrected) (eV/atom) = -0.786
- density of states at the Fermi level (states/eV/f.u.) = 3.95
- spin magnetization (μB/cell) = 0.0
- space group = P4/mnc

```
data_Tl4InBr6
_chemical_formula_sum 'Tl8 In2 Br12'
_symmetry_space_group_name_H-M 'P 1'
_symmetry_Int_Tables_number 1
_symmetry_space_group_name_Hall 'P 1'
_cell_length_a 9.0182
_cell_length_b 9.0182
_cell_length_c 9.3650
_cell_angle_alpha 90.00
_cell_angle_beta 90.00
_cell_angle_gamma 90.00
loop_
_atom_site_label
_atom_site_type_symbol
_atom_site_fract_x
_atom_site_fract_y
_atom_site_fract_z
_atom_site_occupancy
Br1 Br 0.8097 0.6260 0.0000 1
Br2 Br 0.5000 0.5000 0.6951 1
Br3 Br 0.0000 0.0000 0.8049 1
Br4 Br 0.8740 0.6903 0.5000 1
Br5 Br 0.6903 0.1260 0.5000 1
Br6 Br 0.3097 0.8740 0.5000 1
Br7 Br 0.3740 0.8097 0.0000 1
Br8 Br 0.1260 0.3097 0.5000 1
Br9 Br 0.5000 0.5000 0.3049 1
Br10 Br 0.6260 0.1903 0.0000 1
Br11 Br 0.0000 0.0000 0.1951 1
Br12 Br 0.1903 0.3740 0.0000 1
In1 In 0.0000 0.0000 0.5000 1
In2 In 0.5000 0.5000 0.0000 1
Tl1 Tl 0.8392 0.3392 0.7500 1
Tl2 Tl 0.8392 0.3392 0.2500 1
Tl3 Tl 0.6608 0.8392 0.2500 1
Tl4 Tl 0.1608 0.6608 0.7500 1
Tl5 Tl 0.3392 0.1608 0.2500 1
Tl6 Tl 0.6608 0.8392 0.7500 1
Tl7 Tl 0.3392 0.1608 0.7500 1
Tl8 Tl 0.1608 0.6608 0.2500 1
```

---

spin magnetization of number 1 (TcHgAs3)? 0.0 μB/cell

---

Look up the spin magnetization of the eleventh one. 0.0 μB/cell